1.
CrB: optimized geometry, PBE.

The structure in CIF format:
```
data_CrB
_chemical_formula_sum 'Cr1 B1'
_space_group_name_H-M_alt 'P 1'
_space_group_IT_number 1
_cell_length_a 3.2346
_cell_length_b 3.2346
_cell_length_c 3.2346
_cell_angle_alpha 60.00
_cell_angle_beta 60.00
_cell_angle_gamma 60.00
loop_
_space_group_symop_operation_xyz
'x,y,z'
loop_
_atom_site_label
_atom_site_fract_x
_atom_site_fract_y
_atom_site_fract_z
Cr1 0.0000 0.0000 0.0000
B1 0.2500 0.2500 0.2500
```

Summary:
Space group ... F-43m (216)
Energy of formation ... 1.012 eV per atom
Crystal system ... cubic

2.
CeTmPS: optimized geometry, PBE.

The structure in CIF format:
```
data_CeTmPS
_chemical_formula_sum 'Ce1 Tm1 P1 S1'
_space_group_name_H-M_alt 'P 1'
_space_group_IT_number 1
_cell_length_a 6.9248
_cell_length_b 6.9248
_cell_length_c 6.9248
_cell_angle_alpha 33.40
_cell_angle_beta 33.40
_cell_angle_gamma 33.40
loop_
_space_group_symop_operation_xyz
'x,y,z'
loop_
_atom_site_label
_atom_site_fract_x
_atom_site_fract_y
_atom_site_fract_z
Ce1 0.0000 0.0000 0.0000
Tm1 0.5034 0.5034 0.5034
P1 0.2478 0.2478 0.2478
S1 0.7563 0.7563 0.7563
```

Summary:
Space group ... R3m (160)
Total DFT energy (no corrections) ... -0.2498 hartree per atom
Crystal system ... trigonal

3.
TaCu2P: optimized geometry, PBE.

The structure in CIF format:
```
data_TaCu2P
_chemical_formula_sum 'Ta1 Cu2 P1'
_space_group_name_H-M_alt 'P 1'
_space_group_IT_number 1
_cell_length_a 3.3668
_cell_length_b 5.4578
_cell_length_c 5.4578
_cell_angle_alpha 34.58
_cell_angle_beta 90.00
_cell_angle_gamma 90.00
loop_
_space_group_symop_operation_xyz
'x,y,z'
loop_
_atom_site_label
_atom_site_fract_x
_atom_site_fract_y
_atom_site_fract_z
Ta1 0.0000 0.0000 0.0000
Cu1 0.0000 0.2585 0.2585
Cu2 0.5000 0.6604 0.6604
P1 0.5000 0.4153 0.4153
```

Summary:
Space group ... Amm2 (38)
Energy of formation ... -0.186 eV per atom
Crystal system ... orthorhombic

4.
MnTePb2: optimized geometry, PBE.

The structure in CIF format:
```
data_MnTePb2
_chemical_formula_sum 'Mn1 Te1 Pb2'
_space_group_name_H-M_alt 'P 1'
_space_group_IT_number 1
_cell_length_a 3.8959
_cell_length_b 5.3029
_cell_length_c 5.3519
_cell_angle_alpha 90.00
_cell_angle_beta 90.00
_cell_angle_gamma 90.00
loop_
_space_group_symop_operation_xyz
'x,y,z'
loop_
_atom_site_label
_atom_site_fract_x
_atom_site_fract_y
_atom_site_fract_z
Mn1 0.0000 0.0000 0.0000
Te1 0.5000 0.0000 0.5000
Pb1 0.0000 0.5000 0.5000
Pb2 0.5000 0.5000 0.0000
```

Summary:
Space group ... Pmmm (47)
Total DFT energy (no corrections) ... -0.1705 hartree per atom
Crystal system ... orthorhombic

5.
PaMnCu2: optimized geometry, PBE.

The structure in CIF format:
```
data_PaMnCu2
_chemical_formula_sum 'Pa1 Mn1 Cu2'
_space_group_name_H-M_alt 'P 1'
_space_group_IT_number 1
_cell_length_a 3.6364
_cell_length_b 3.6364
_cell_length_c 4.8460
_cell_angle_alpha 90.00
_cell_angle_beta 90.00
_cell_angle_gamma 90.00
loop_
_space_group_symop_operation_xyz
'x,y,z'
loop_
_atom_site_label
_atom_site_fract_x
_atom_site_fract_y
_atom_site_fract_z
Pa1 0.0000 0.0000 0.0000
Mn1 0.0000 0.0000 0.5000
Cu1 0.5000 0.5000 0.2642
Cu2 0.5000 0.5000 0.7358
```

Summary:
Space group ... P4/mmm (123)
Energy of formation ... 0.187 eV per atom
Crystal system ... tetragonal

6.
La4TaIr: optimized geometry, PBE.

The structure in CIF format:
```
data_La4TaIr
_chemical_formula_sum 'La4 Ta1 Ir1'
_space_group_name_H-M_alt 'P 1'
_space_group_IT_number 1
_cell_length_a 6.1411
_cell_length_b 6.1411
_cell_length_c 6.1411
_cell_angle_alpha 60.00
_cell_angle_beta 60.00
_cell_angle_gamma 60.00
loop_
_space_group_symop_operation_xyz
'x,y,z'
loop_
_atom_site_label
_atom_site_fract_x
_atom_site_fract_y
_atom_site_fract_z
La1 0.3757 0.3757 0.3757
La2 0.3757 0.3757 0.8728
La3 0.3757 0.8728 0.3757
La4 0.8728 0.3757 0.3757
Ta1 0.0000 0.0000 0.0000
Ir1 0.7500 0.7500 0.7500
```

Summary:
Space group ... F-43m (216)
Energy of formation ... 0.963 eV per atom
Crystal system ... cubic

7.
K5Rb12Tl2: optimized geometry, PBE.

The structure in CIF format:
```
data_K5Rb12Tl2
_chemical_formula_sum 'K5 Rb12 Tl2'
_space_group_name_H-M_alt 'P 1'
_space_group_IT_number 1
_cell_length_a 14.3413
_cell_length_b 14.3413
_cell_length_c 12.2252
_cell_angle_alpha 108.92
_cell_angle_beta 108.92
_cell_angle_gamma 39.74
loop_
_space_group_symop_operation_xyz
'x,y,z'
loop_
_atom_site_label
_atom_site_fract_x
_atom_site_fract_y
_atom_site_fract_z
K1 0.0000 0.0000 0.0000
K2 0.2455 0.2455 0.9941
K3 0.2456 0.2456 0.4988
K4 0.7544 0.7544 0.5012
K5 0.7545 0.7545 0.0059
Rb1 0.0288 0.0288 0.3600
Rb2 0.1088 0.5968 0.8314
Rb3 0.1197 0.5975 0.3264
Rb4 0.4025 0.8803 0.6736
Rb5 0.4032 0.8912 0.1686
Rb6 0.4908 0.4908 0.2005
Rb7 0.5092 0.5092 0.7995
Rb8 0.5968 0.1088 0.8314
Rb9 0.5975 0.1197 0.3264
Rb10 0.8803 0.4025 0.6736
Rb11 0.8912 0.4032 0.1686
Rb12 0.9712 0.9712 0.6400
Tl1 0.3474 0.6526 0.5000
Tl2 0.6526 0.3474 0.5000
```

Summary:
Space group ... C2/m (12)
Energy of formation ... 0.027 eV per atom
Crystal system ... monoclinic

8.
VSnAs2Br: optimized geometry, PBE.

The structure in CIF format:
```
data_VSnAs2Br
_chemical_formula_sum 'V1 Sn1 As2 Br1'
_space_group_name_H-M_alt 'P 1'
_space_group_IT_number 1
_cell_length_a 4.7770
_cell_length_b 4.7770
_cell_length_c 5.3460
_cell_angle_alpha 90.00
_cell_angle_beta 90.00
_cell_angle_gamma 90.00
loop_
_space_group_symop_operation_xyz
'x,y,z'
loop_
_atom_site_label
_atom_site_fract_x
_atom_site_fract_y
_atom_site_fract_z
V1 0.0000 0.0000 0.0000
Sn1 0.5000 0.5000 0.5000
As1 0.0000 0.5000 0.0000
As2 0.5000 0.0000 0.0000
Br1 0.0000 0.0000 0.5000
```

Summary:
Space group ... P4/mmm (123)
Total DFT energy (no corrections) ... -0.1732 hartree per atom
Crystal system ... tetragonal

9.
CsTe3Se: optimized geometry, PBE.

The structure in CIF format:
```
data_CsTe3Se
_chemical_formula_sum 'Cs2 Te6 Se2'
_space_group_name_H-M_alt 'P 1'
_space_group_IT_number 1
_cell_length_a 7.3036
_cell_length_b 7.3036
_cell_length_c 7.3036
_cell_angle_alpha 81.08
_cell_angle_beta 81.08
_cell_angle_gamma 81.08
loop_
_space_group_symop_operation_xyz
'x,y,z'
loop_
_atom_site_label
_atom_site_fract_x
_atom_site_fract_y
_atom_site_fract_z
Cs1 0.0000 0.0000 0.0000
Cs2 0.5000 0.5000 0.5000
Te1 0.1539 0.9486 0.4827
Te2 0.4486 0.6539 0.9827
Te3 0.4827 0.1539 0.9486
Te4 0.6539 0.9827 0.4486
Te5 0.9486 0.4827 0.1539
Te6 0.9827 0.4486 0.6539
Se1 0.2535 0.2535 0.2535
Se2 0.7535 0.7535 0.7535
```

Summary:
Space group ... R3c (161)
Total DFT energy (no corrections) ... -0.1064 hartree per atom
Crystal system ... trigonal

10.
Na4HgBi3: optimized geometry, PBE.

The structure in CIF format:
```
data_Na4HgBi3
_chemical_formula_sum 'Na4 Hg1 Bi3'
_space_group_name_H-M_alt 'P 1'
_space_group_IT_number 1
_cell_length_a 4.5301
_cell_length_b 4.9552
_cell_length_c 11.6456
_cell_angle_alpha 90.00
_cell_angle_beta 90.00
_cell_angle_gamma 90.00
loop_
_space_group_symop_operation_xyz
'x,y,z'
loop_
_atom_site_label
_atom_site_fract_x
_atom_site_fract_y
_atom_site_fract_z
Na1 0.0000 0.0000 0.0000
Na2 0.0000 0.5000 0.4835
Na3 0.5000 0.0000 0.2518
Na4 0.5000 0.5000 0.7520
Hg1 0.5000 0.5000 0.0157
Bi1 0.0000 0.0000 0.7134
Bi2 0.0000 0.5000 0.2017
Bi3 0.5000 0.0000 0.5387
```

Summary:
Space group ... Pmm2 (25)
Energy of formation ... -0.213 eV per atom
Crystal system ... orthorhombic

11.
TaSiBr: optimized geometry, PBE.

The structure in CIF format:
```
data_TaSiBr
_chemical_formula_sum 'Ta1 Si1 Br1'
_space_group_name_H-M_alt 'P 1'
_space_group_IT_number 1
_cell_length_a 3.1335
_cell_length_b 3.1335
_cell_length_c 7.5313
_cell_angle_alpha 90.00
_cell_angle_beta 90.00
_cell_angle_gamma 120.00
loop_
_space_group_symop_operation_xyz
'x,y,z'
loop_
_atom_site_label
_atom_site_fract_x
_atom_site_fract_y
_atom_site_fract_z
Ta1 0.0000 0.0000 0.0000
Si1 0.6667 0.3333 0.7151
Br1 0.3333 0.6667 0.2536
```

Summary:
Space group ... P3m1 (156)
Total DFT energy (no corrections) ... -0.2270 hartree per atom
Crystal system ... trigonal

12.
Ce2TmGa: optimized geometry, PBE.

The structure in CIF format:
```
data_Ce2TmGa
_chemical_formula_sum 'Ce2 Tm1 Ga1'
_space_group_name_H-M_alt 'P 1'
_space_group_IT_number 1
_cell_length_a 12.1364
_cell_length_b 12.1364
_cell_length_c 12.1364
_cell_angle_alpha 15.41
_cell_angle_beta 15.41
_cell_angle_gamma 15.41
loop_
_space_group_symop_operation_xyz
'x,y,z'
loop_
_atom_site_label
_atom_site_fract_x
_atom_site_fract_y
_atom_site_fract_z
Ce1 0.0855 0.0855 0.0855
Ce2 0.9145 0.9145 0.9145
Tm1 0.5000 0.5000 0.5000
Ga1 0.0000 0.0000 0.0000
```

Summary:
Space group ... R-3m (166)
Energy of formation ... 0.208 eV per atom
Crystal system ... trigonal

13.
CePaGa2: optimized geometry, PBE.

The structure in CIF format:
```
data_CePaGa2
_chemical_formula_sum 'Ce1 Pa1 Ga2'
_space_group_name_H-M_alt 'P 1'
_space_group_IT_number 1
_cell_length_a 10.5160
_cell_length_b 10.5160
_cell_length_c 10.5160
_cell_angle_alpha 17.16
_cell_angle_beta 17.16
_cell_angle_gamma 17.16
loop_
_space_group_symop_operation_xyz
'x,y,z'
loop_
_atom_site_label
_atom_site_fract_x
_atom_site_fract_y
_atom_site_fract_z
Ce1 0.0000 0.0000 0.0000
Pa1 0.5000 0.5000 0.5000
Ga1 0.2493 0.2493 0.2493
Ga2 0.7507 0.7507 0.7507
```

Summary:
Space group ... R-3m (166)
Energy of formation ... -0.235 eV per atom
Crystal system ... trigonal